The following is a PBE-GGA calculation of an optimized crystal structure of AcMnCuP2, from Alexandria via LeMat-Bulk.

Unit cell a=3.9596 b=3.9596 c=6.5471 alpha=107.60 beta=107.60 gamma=90.00
Fractional positions:
1 Ac 0.0000 0.0000 0.0000
2 Mn 0.7500 0.2500 0.5000
3 Cu 0.2500 0.7500 0.5000
4 P 0.6385 0.6385 0.2769
5 P 0.3615 0.3615 0.7231

VASP energy: -31.85 eV per cell
SG: No. 119
volume: 93 Å³/cell
theoretical density: 7.29 g/cm3
M_tot: 0.724 μB/atom

The following is a PBE-GGA calculation of an optimized crystal structure of Ac2MnCuPd6, from Alexandria via LeMat-Bulk.

Unit cell a=6.7732 b=6.7732 c=5.5325 alpha=65.95 beta=65.87 gamma=81.71
Fractional positions:
1 Pd 0.2432 0.2555 0.4988
2 Pd 0.7568 0.7445 0.5012
3 Pd 0.5913 0.0923 0.1583
4 Pd 0.4087 0.9077 0.8417
5 Pd 0.2433 0.2556 0.0026
6 Pd 0.7567 0.7444 0.9974
7 Ac 0.2223 0.7102 0.5334
8 Ac 0.7777 0.2898 0.4666
9 Cu 0.5000 0.5000 0.0000
10 Mn 0.0000 0.0000 0.0000

VASP energy: -57.64 eV per cell
SG: No. 2
volume: 211 Å³/cell
theoretical density: 9.51 g/cm3
M_tot: 0.445 μB/atom

The following is a PBE-GGA calculation of an optimized crystal structure of AcMnCuPt2, from Alexandria via LeMat-Bulk.

Unit cell a=5.6827 b=5.6801 c=7.1161 alpha=113.52 beta=90.00 gamma=90.00
Fractional positions:
1 Mn 0.5000 0.2500 0.0000
2 Mn 0.5000 0.7500 0.0000
3 Ac 0.7651 0.2500 0.5000
4 Ac 0.2349 0.7500 0.5000
5 Cu 0.0000 0.5000 0.0000
6 Cu 0.0000 0.0000 0.0000
7 Pt 0.2845 0.1438 0.2877
8 Pt 0.7155 0.8562 0.7123
9 Pt 0.2845 0.3562 0.7123
10 Pt 0.7155 0.6438 0.2877

VASP energy: -63.35 eV per cell
SG: No. 67
volume: 211 Å³/cell
theoretical density: 11.60 g/cm3
M_tot: 0.895 μB/atom

What did the second record say?
The following is a PBE-GGA calculation of an optimized crystal structure of Ac2MnCuPd6, from Alexandria via LeMat-Bulk.

Unit cell a=6.7732 b=6.7732 c=5.5325 alpha=65.95 beta=65.87 gamma=81.71
Fractional positions:
1 Pd 0.2432 0.2555 0.4988
2 Pd 0.7568 0.7445 0.5012
3 Pd 0.5913 0.0923 0.1583
4 Pd 0.4087 0.9077 0.8417
5 Pd 0.2433 0.2556 0.0026
6 Pd 0.7567 0.7444 0.9974
7 Ac 0.2223 0.7102 0.5334
8 Ac 0.7777 0.2898 0.4666
9 Cu 0.5000 0.5000 0.0000
10 Mn 0.0000 0.0000 0.0000

VASP energy: -57.64 eV per cell
SG: No. 2
volume: 211 Å³/cell
theoretical density: 9.51 g/cm3
M_tot: 0.445 μB/atom

- Which of these has the lowest M_tot?
  Ac2MnCuPd6

Copy entry 1 word for word.
The following is a PBE-GGA calculation of an optimized crystal structure of AcMnCuP2, from Alexandria via LeMat-Bulk.

Unit cell a=3.9596 b=3.9596 c=6.5471 alpha=107.60 beta=107.60 gamma=90.00
Fractional positions:
1 Ac 0.0000 0.0000 0.0000
2 Mn 0.7500 0.2500 0.5000
3 Cu 0.2500 0.7500 0.5000
4 P 0.6385 0.6385 0.2769
5 P 0.3615 0.3615 0.7231

VASP energy: -31.85 eV per cell
SG: No. 119
volume: 93 Å³/cell
theoretical density: 7.29 g/cm3
M_tot: 0.724 μB/atom

- Which of these has the lowest volume?
  AcMnCuP2